A plane-wave DFT calculation with PBE was carried out for an optimized crystal structure of Sm3Y6TmTh2.

Calculated values
space group: C2/m, No. 12
formation enthalpy at 0 K: 19 meV/atom

Geometry as extended XYZ:
```
12
Lattice="3.1035 -5.3721 0.0000 3.1035 5.3721 0.0000 -2.0710 0.0000 11.6493" Properties=species:S:1:pos:R:3 pbc="T T T"
Sm 0.0000 0.0000 0.0000
Sm 3.1035 1.7874 0.0000
Sm 3.1035 -1.7874 0.0000
Y 1.0241 1.8081 2.9639
Y -0.0233 0.0000 8.6906
Y 1.0241 -1.8081 2.9639
Y 3.1120 1.8081 8.6853
Y 4.1594 0.0000 2.9587
Y 3.1120 -1.8081 8.6853
Tm 2.0680 0.0000 5.8246
Th 2.0680 3.5826 5.8246
Th 2.0680 -3.5826 5.8246
```